Compound: LaMgSe4
Source: Alexandria via LeMat-Bulk
Functional: PBE-GGA
Structure: optimized geometry

extended XYZ file:
```
6
Lattice="0.000 4.165 4.165 4.165 0.000 4.165 4.165 4.165 0.000" Properties=species:S:1:pos:R:3 pbc="T T T"
La 0.000 0.000 0.000
Mg 6.247 6.247 6.247
Se 3.129 3.129 3.129
Se 5.201 5.201 3.129
Se 5.201 3.129 5.201
Se 3.129 5.201 5.201
```

Results
Uncorrected formation energy (eV per atom): -0.29
ρ (Mg/m³): 5.5
M_tot (μB/atom): 0.000
Crystal system: cubic
Density of states at the Fermi level (states/eV/cell): 5.76

Compound: LaMg3Se
Source: Alexandria via LeMat-Bulk
Functional: PBE-GGA
Structure: optimized geometry

extended XYZ file:
```
5
Lattice="5.244 0.000 0.000 0.000 5.244 0.000 0.000 0.000 5.244" Properties=species:S:1:pos:R:3 pbc="T T T"
La 0.000 0.000 0.000
Mg 0.000 2.622 2.622
Mg 2.622 0.000 2.622
Mg 2.622 2.622 0.000
Se 2.622 2.622 2.622
```

Results
Uncorrected formation energy (eV per atom): -0.03
Relative energy among the computed polymorphs (meV/atom): 0
ρ (Mg/m³): 3.3
M_tot (μB/atom): 0.000
Crystal system: cubic
Density of states at the Fermi level (states/eV/cell): 4.23

Compound: La6MgSe8
Source: Alexandria via LeMat-Bulk
Functional: PBE-GGA
Structure: optimized geometry

extended XYZ file:
```
15
Lattice="4.441 2.564 6.090 -4.441 2.564 6.090 0.000 -5.129 6.090" Properties=species:S:1:pos:R:3 pbc="T T T"
La -1.715 -2.159 7.578
La -2.727 0.406 10.692
La -1.012 2.565 7.578
La 1.012 -2.565 10.692
La 2.727 -0.406 7.578
La 1.715 2.159 10.692
Mg 0.000 0.000 0.000
Se -3.247 0.569 7.670
Se -2.117 -2.528 10.600
Se 0.000 0.000 6.013
Se 1.131 -3.097 7.670
Se -1.131 3.097 10.600
Se 0.000 0.000 12.257
Se 2.117 2.528 7.670
Se 3.247 -0.569 10.600
```

Results
Uncorrected formation energy (eV per atom): -1.83
ρ (Mg/m³): 5.9
M_tot (μB/atom): 0.000
Crystal system: trigonal
Density of states at the Fermi level (states/eV/cell): 6.07

Compound: La2MgSe4
Source: Alexandria via LeMat-Bulk
Functional: PBE-GGA
Structure: optimized geometry

extended XYZ file:
```
28
Lattice="7.026 0.000 0.000 0.000 7.737 0.000 0.000 0.000 14.906" Properties=species:S:1:pos:R:3 pbc="T T T"
La 0.054 0.825 2.116
La 0.054 3.044 9.569
La 3.459 4.694 2.116
La 3.459 6.912 9.569
La 3.567 0.825 5.337
La 3.567 3.044 12.790
La 6.972 4.694 5.337
La 6.972 6.912 12.790
Mg 0.000 0.000 7.453
Mg 0.000 3.869 0.000
Mg 3.513 0.000 0.000
Mg 3.513 3.869 7.453
Se 0.820 4.105 12.247
Se 0.820 7.501 4.794
Se 1.290 5.322 8.050
Se 1.290 6.284 0.597
Se 2.222 1.454 8.050
Se 2.222 2.415 0.597
Se 2.693 0.236 12.247
Se 2.693 3.632 4.794
Se 4.333 4.105 10.112
Se 4.333 7.501 2.659
Se 4.803 5.322 14.308
Se 4.803 6.284 6.856
Se 5.735 1.454 14.308
Se 5.735 2.415 6.856
Se 6.206 0.236 10.112
Se 6.206 3.632 2.659
```

Results
Uncorrected formation energy (eV per atom): -1.76
Relative energy among the computed polymorphs (meV/atom): 11
ρ (Mg/m³): 5.1
M_tot (μB/atom): 0.000
Crystal system: orthorhombic
Density of states at the Fermi level (states/eV/cell): 0.00

> Number 4 is which compound?

La2MgSe4

> Look up the ρ of the third one.

5.9 Mg/m³

> ρ of number 1 (LaMgSe4)?

5.5 Mg/m³